Entry 1:
LaPuHg2 | PBE-GGA | relaxed

The structure in POSCAR format:
```
LaPuHg2
1.0
5.3955 0.0000 0.0000
0.0000 5.3955 0.0000
0.0000 0.0000 3.9013
La Pu Hg
1 1 2
Direct
0.0000 0.0000 0.0000 La
0.5000 0.5000 0.0000 Pu
0.0000 0.5000 0.5000 Hg
0.5000 0.0000 0.5000 Hg
```

Output
The value obtained for the energy relative to the lowest polymorph listed for this composition is 0 meV/atom. The value obtained for the calculated density is 11.46 g/cm³. The calculation puts the energy relative to the elements at -300 meV per atom. Its density of states at the Fermi level is 11.41 states/eV/cell.



Entry 2:
LaNdPO | PBE-GGA | relaxed

The structure in POSCAR format:
```
LaNdPO
1.0
4.4706 0.0000 0.0000
0.0000 4.4706 0.0000
0.0000 0.0000 9.2790
La Nd P O
2 2 2 2
Direct
0.2500 0.2500 0.1086 La
0.7500 0.7500 0.8914 La
0.2500 0.7500 0.5000 Nd
0.7500 0.2500 0.5000 Nd
0.2500 0.2500 0.6960 P
0.7500 0.7500 0.3040 P
0.2500 0.7500 0.0000 O
0.7500 0.2500 0.0000 O
```

Output
The value obtained for the calculated density is 5.91 g/cm³. Its density of states at the Fermi level is 4.23 states/eV/cell. The uncorrected formation energy comes out at -1.9216 eV/atom.



Entry 3:
SbAsWBr2 | PBE-GGA | relaxed

The structure in POSCAR format:
```
SbAsWBr2
1.0
5.4000 0.0000 0.0000
0.0000 5.4000 0.0000
0.0000 0.0000 5.5923
Sb As W Br
1 1 1 2
Direct
0.0000 0.0000 0.0000 Sb
0.0000 0.0000 0.5000 As
0.5000 0.5000 0.5000 W
0.0000 0.5000 0.0000 Br
0.5000 0.0000 0.0000 Br
```

Output
The value obtained for the energy relative to the lowest polymorph listed for this composition is 742 meV/atom. The value obtained for the calculated density is 5.50 g/cm³. Its density of states at the Fermi level is 5.03 states/eV/cell. The uncorrected formation energy comes out at 1.4067 eV/atom.



Entry 4:
Cs3AlTe | PBE-GGA | relaxed

The structure in POSCAR format:
```
Cs3AlTe
1.0
7.3531 0.0000 0.0000
0.0000 7.3531 0.0000
0.0000 0.0000 7.3531
Cs Al Te
3 1 1
Direct
0.0000 0.0000 0.5000 Cs
0.0000 0.5000 0.0000 Cs
0.5000 0.0000 0.0000 Cs
0.5000 0.5000 0.5000 Al
0.0000 0.0000 0.0000 Te
```

Output
The value obtained for the energy relative to the lowest polymorph listed for this composition is 0 meV/atom. The value obtained for the calculated density is 2.31 g/cm³. Its density of states at the Fermi level is 6.93 states/eV/cell. The uncorrected formation energy comes out at -0.0967 eV/atom.



Entry 5:
TlZnAs3 | PBE-GGA | relaxed

The structure in POSCAR format:
```
TlZnAs3
1.0
5.3587 0.0000 0.0000
0.0000 5.3587 0.0000
0.0000 0.0000 5.3587
Tl Zn As
1 1 3
Direct
0.0000 0.0000 0.0000 Tl
0.5000 0.5000 0.5000 Zn
0.0000 0.0000 0.5000 As
0.0000 0.5000 0.0000 As
0.5000 0.0000 0.0000 As
```

Output
The value obtained for the energy relative to the lowest polymorph listed for this composition is 683 meV/atom. The value obtained for the calculated density is 5.34 g/cm³. The calculation puts the energy relative to the elements at 1236 meV per atom. Its density of states at the Fermi level is 7.29 states/eV/cell.



Entry 6:
Ho4TlHg2Pd | PBE-GGA | relaxed

The structure in POSCAR format:
```
Ho4TlHg2Pd
1.0
2.5993 1.5007 8.4478
-2.5993 1.5007 8.4478
0.0000 -3.0014 8.4478
Ho Tl Hg Pd
4 1 2 1
Direct
0.1177 0.1177 0.1177 Ho
0.3697 0.3697 0.3697 Ho
0.6303 0.6303 0.6303 Ho
0.8823 0.8823 0.8823 Ho
0.5000 0.5000 0.5000 Tl
0.2460 0.2460 0.2460 Hg
0.7540 0.7540 0.7540 Hg
0.0000 0.0000 0.0000 Pd
```

Output
The value obtained for the calculated density is 11.52 g/cm³. The calculation puts the energy relative to the elements at -540 meV per atom. Its density of states at the Fermi level is 3.95 states/eV/cell.



Entry 7:
LiPtAu4 | PBE-GGA | relaxed

The structure in POSCAR format:
```
LiPtAu4
1.0
2.8944 -2.8932 0.0000
2.8944 2.8932 0.0000
-0.0144 0.0000 6.8690
Li Pt Au
1 1 4
Direct
0.0000 0.0000 0.0000 Li
0.5000 0.5000 0.5000 Pt
0.9998 0.5001 0.2359 Au
0.0002 0.4999 0.7641 Au
0.5001 0.9998 0.2359 Au
0.4999 0.0002 0.7641 Au
```

Output
The value obtained for the energy relative to the lowest polymorph listed for this composition is 227 meV/atom. The value obtained for the calculated density is 14.29 g/cm³. The calculation puts the energy relative to the elements at 11 meV per atom. Its density of states at the Fermi level is 1.93 states/eV/cell.



Entry 8:
La2Nd2Tl7 | PBE-GGA | relaxed

The structure in POSCAR format:
```
La2Nd2Tl7
1.0
5.9618 -5.7319 0.0000
5.9618 5.7319 0.0000
-0.9391 0.0000 5.0960
La Nd Tl
2 2 7
Direct
0.2190 0.7810 0.0000 La
0.7810 0.2190 0.0000 La
0.2573 0.2573 0.2003 Nd
0.7427 0.7427 0.7997 Nd
0.0000 0.0000 0.5000 Tl
0.0379 0.3954 0.7097 Tl
0.3954 0.0379 0.7097 Tl
0.4341 0.4341 0.7315 Tl
0.5659 0.5659 0.2685 Tl
0.6046 0.9621 0.2903 Tl
0.9621 0.6046 0.2903 Tl
```

Output
The value obtained for the calculated density is 9.52 g/cm³. The calculation puts the energy relative to the elements at -221 meV per atom. Its density of states at the Fermi level is 6.93 states/eV/cell.



Entry 9:
CsNpFeSe3 | PBE-GGA | relaxed

The structure in POSCAR format:
```
CsNpFeSe3
1.0
9.9012 0.0000 0.0000
0.0000 4.0770 0.0000
-3.9150 0.0000 9.3328
Cs Np Fe Se
2 2 2 6
Direct
0.2103 0.2500 0.2419 Cs
0.7897 0.7500 0.7581 Cs
0.3269 0.7500 0.8446 Np
0.6731 0.2500 0.1554 Np
0.0620 0.2500 0.5838 Fe
0.9380 0.7500 0.4162 Fe
0.1252 0.2500 0.8455 Se
0.1991 0.7500 0.5392 Se
0.4682 0.7500 0.1507 Se
0.5318 0.2500 0.8493 Se
0.8009 0.2500 0.4608 Se
0.8748 0.7500 0.1545 Se
```

Output
The value obtained for the calculated density is 5.84 g/cm³. Its density of states at the Fermi level is 25.14 states/eV/cell. The uncorrected formation energy comes out at -0.9243 eV/atom.



Entry 10:
ZrZnAu | PBE-GGA | relaxed

The structure in POSCAR format:
```
ZrZnAu
1.0
0.0000 3.1688 3.1688
3.1688 0.0000 3.1688
3.1688 3.1688 0.0000
Zr Zn Au
1 1 1
Direct
0.0000 0.0000 0.0000 Zr
0.5000 0.5000 0.5000 Zn
0.7500 0.7500 0.7500 Au
```

Output
The value obtained for the calculated density is 9.23 g/cm³. The calculation puts the energy relative to the elements at -251 meV per atom. Its density of states at the Fermi level is 5.81 states/eV/cell.



Entry 11:
AcTh2Ni6 | PBE-GGA | relaxed

The structure in POSCAR format:
```
AcTh2Ni6
1.0
-1.8890 3.7541 6.2936
1.8890 -3.7541 6.2936
1.8890 3.7541 -6.2936
Ac Th Ni
1 2 6
Direct
0.0000 0.0000 0.0000 Ac
0.3498 0.8498 0.5000 Th
0.6502 0.1502 0.5000 Th
0.0436 0.3200 0.7236 Ni
0.3335 0.5000 0.8335 Ni
0.4035 0.6800 0.7236 Ni
0.5965 0.3200 0.2764 Ni
0.6665 0.5000 0.1665 Ni
0.9564 0.6800 0.2764 Ni
```

Output
The value obtained for the energy relative to the lowest polymorph listed for this composition is 134 meV/atom. The value obtained for the calculated density is 9.70 g/cm³. The calculation puts the energy relative to the elements at -221 meV per atom. Its density of states at the Fermi level is 7.27 states/eV/cell.



Entry 12:
Nd4SmHoSe8 | PBE-GGA | relaxed

The structure in POSCAR format:
```
Nd4SmHoSe8
1.0
4.3207 2.4946 7.0446
-4.3207 2.4946 7.0446
0.0000 -4.9891 7.0446
Nd Sm Ho Se
4 1 1 8
Direct
0.0000 0.0000 0.0000 Nd
0.3770 0.3770 0.8706 Nd
0.3770 0.8706 0.3770 Nd
0.8706 0.3770 0.3770 Nd
0.3770 0.3770 0.3770 Sm
0.7506 0.7506 0.7506 Ho
0.1333 0.1333 0.1333 Se
0.1359 0.1359 0.5994 Se
0.1359 0.5994 0.1359 Se
0.1371 0.6197 0.6197 Se
0.5994 0.1359 0.1359 Se
0.6197 0.1371 0.6197 Se
0.6197 0.6197 0.1371 Se
0.6222 0.6222 0.6222 Se
```

Output
The value obtained for the calculated density is 5.55 g/cm³. Its density of states at the Fermi level is 8.85 states/eV/cell. The uncorrected formation energy comes out at -1.7240 eV/atom.



Entry 13:
CaNiMo2 | PBE-GGA | relaxed

The structure in POSCAR format:
```
CaNiMo2
1.0
4.7143 -1.3621 0.0000
4.7143 1.3621 0.0000
-0.8016 0.0000 5.5115
Ca Ni Mo
1 1 2
Direct
0.0000 0.0000 0.0000 Ca
0.2471 0.2471 0.7523 Ni
0.5392 0.5392 0.5132 Mo
0.7796 0.7796 0.3532 Mo
```

Output
The value obtained for the energy relative to the lowest polymorph listed for this composition is 202 meV/atom. The value obtained for the calculated density is 6.82 g/cm³. The calculation puts the energy relative to the elements at 527 meV per atom. Its density of states at the Fermi level is 3.57 states/eV/cell.



Entry 14:
TlSi2Ag | PBE-GGA | relaxed

The structure in POSCAR format:
```
TlSi2Ag
1.0
0.0000 3.4375 3.4375
3.4375 0.0000 3.4375
3.4375 3.4375 0.0000
Tl Si Ag
1 2 1
Direct
0.0000 0.0000 0.0000 Tl
0.2500 0.2500 0.2500 Si
0.7500 0.7500 0.7500 Si
0.5000 0.5000 0.5000 Ag
```

Output
The value obtained for the energy relative to the lowest polymorph listed for this composition is 391 meV/atom. The value obtained for the calculated density is 7.53 g/cm³. Its density of states at the Fermi level is 1.17 states/eV/cell. The uncorrected formation energy comes out at 0.6559 eV/atom.



Entry 15:
LiYAs2 | PBE-GGA | relaxed

The structure in POSCAR format:
```
LiYAs2
1.0
0.0000 3.4240 3.4240
3.4240 0.0000 3.4240
3.4240 3.4240 0.0000
Li Y As
1 1 2
Direct
0.0000 0.0000 0.0000 Li
0.7500 0.7500 0.7500 Y
0.2500 0.2500 0.2500 As
0.5000 0.5000 0.5000 As
```

Output
The value obtained for the energy relative to the lowest polymorph listed for this composition is 472 meV/atom. The value obtained for the calculated density is 5.08 g/cm³. The calculation puts the energy relative to the elements at -379 meV per atom. Its density of states at the Fermi level is 0.54 states/eV/cell.



Entry 16:
CoW2 | PBE-GGA | relaxed

The structure in POSCAR format:
```
CoW2
1.0
-2.9942 2.9942 2.3821
2.9942 -2.9942 2.3821
2.9942 2.9942 -2.3821
Co W
2 4
Direct
0.2500 0.2500 0.0000 Co
0.7500 0.7500 0.0000 Co
0.1597 0.6597 0.8194 W
0.3403 0.1597 0.5000 W
0.6597 0.8403 0.5000 W
0.8403 0.3403 0.1806 W
```

Output
The value obtained for the energy relative to the lowest polymorph listed for this composition is 0 meV/atom. The value obtained for the calculated density is 16.59 g/cm³. The calculation puts the energy relative to the elements at 8 meV per atom. Its density of states at the Fermi level is 5.34 states/eV/cell.



Entry 17:
LiAcNb4N8 | PBE-GGA | relaxed

The structure in POSCAR format:
```
LiAcNb4N8
1.0
3.2075 1.8518 5.4539
-3.2075 1.8518 5.4539
0.0000 -3.7037 5.4539
Li Ac Nb N
1 1 4 8
Direct
0.0000 0.0000 0.0000 Li
0.3751 0.3751 0.3751 Ac
0.0036 0.0036 0.4847 Nb
0.0036 0.4847 0.0036 Nb
0.4847 0.0036 0.0036 Nb
0.6241 0.6241 0.6241 Nb
0.2321 0.2321 0.2321 N
0.2418 0.2418 0.8205 N
0.2418 0.8205 0.2418 N
0.2529 0.7401 0.7401 N
0.7401 0.2529 0.7401 N
0.7401 0.7401 0.2529 N
0.7607 0.7607 0.7607 N
0.8205 0.2418 0.2418 N
```

Output
The value obtained for the calculated density is 6.13 g/cm³. The uncorrected formation energy comes out at -0.7571 eV/atom.



Entry 18:
AcTl2As2O6 | PBE-GGA | relaxed

The structure in POSCAR format:
```
AcTl2As2O6
1.0
5.1324 -3.1978 0.0000
5.1324 3.1978 0.0000
-3.6670 0.0000 6.7986
Ac Tl As O
1 2 2 6
Direct
0.0000 0.0000 0.0000 Ac
0.2119 0.2119 0.6880 Tl
0.7881 0.7881 0.3120 Tl
0.4493 0.4493 0.2784 As
0.5507 0.5507 0.7216 As
0.2405 0.6701 0.7550 O
0.2680 0.2680 0.0783 O
0.3299 0.7595 0.2450 O
0.6701 0.2405 0.7550 O
0.7320 0.7320 0.9217 O
0.7595 0.3299 0.2450 O
```

Output
The value obtained for the calculated density is 6.56 g/cm³. Its density of states at the Fermi level is 2.69 states/eV/cell. The uncorrected formation energy comes out at -1.5920 eV/atom.



Entry 19:
KHgS2Cl | PBE-GGA | relaxed

The structure in POSCAR format:
```
KHgS2Cl
1.0
6.3105 0.0000 0.0000
0.0000 6.3105 0.0000
0.0000 0.0000 5.8276
K Hg S Cl
1 1 2 1
Direct
0.0000 0.0000 0.0000 K
0.5000 0.5000 0.5000 Hg
0.0000 0.5000 0.0000 S
0.5000 0.0000 0.0000 S
0.0000 0.0000 0.5000 Cl
```

Output
The value obtained for the energy relative to the lowest polymorph listed for this composition is 722 meV/atom. The value obtained for the calculated density is 2.43 g/cm³. Its density of states at the Fermi level is 4.14 states/eV/cell. The uncorrected formation energy comes out at 0.4892 eV/atom.



Entry 20:
Tb4YAs5 | PBE-GGA | relaxed

The structure in POSCAR format:
```
Tb4YAs5
1.0
-4.6249 4.6249 2.9253
4.6249 -4.6249 2.9253
4.6249 4.6249 -2.9253
Tb Y As
4 1 5
Direct
0.0999 0.2999 0.3998 Tb
0.2999 0.9001 0.2000 Tb
0.7001 0.0999 0.8000 Tb
0.9001 0.7001 0.6002 Tb
0.5000 0.5000 0.0000 Y
0.0000 0.0000 0.0000 As
0.2003 0.5999 0.8002 As
0.4001 0.2003 0.6003 As
0.5999 0.7997 0.3997 As
0.7997 0.4001 0.1998 As
```

Output
The value obtained for the calculated density is 7.29 g/cm³. The calculation puts the energy relative to the elements at -1546 meV per atom. Its density of states at the Fermi level is 0.71 states/eV/cell.